[1]
An optimized crystal structure of Tm6AlCu2. Source: Alexandria, functional PBE.

```
Tm6AlCu2
1.0
-4.615 4.783 5.004
4.615 -4.783 5.004
4.615 4.783 -5.004
Tm Al Cu
12 2 4
direct
0.047 0.241 0.807
0.183 0.279 0.462
0.183 0.721 0.904
0.324 0.022 0.697
0.324 0.627 0.303
0.434 0.241 0.193
0.566 0.759 0.807
0.676 0.373 0.697
0.676 0.978 0.303
0.817 0.279 0.096
0.817 0.721 0.538
0.953 0.759 0.193
0.000 0.000 0.000
0.500 0.500 0.000
0.121 0.621 0.500
0.340 0.000 0.340
0.660 0.000 0.660
0.879 0.379 0.500
```

Results
* crystal system: orthorhombic
* N(E_F): 14.900 states/eV/cell
* formation energy from the elements: -2.05 eV per formula unit
* energy: -4.535 eV/atom

=====

[2]
An optimized crystal structure of LaAl2Cl. Source: Alexandria, functional PBE.

```
LaAl2Cl
1.0
7.414 0.000 0.000
0.000 7.414 0.000
0.000 0.000 7.414
La Al Cl
4 8 4
direct
0.000 0.000 0.000
0.000 0.500 0.500
0.500 0.000 0.500
0.500 0.500 0.000
0.250 0.250 0.250
0.250 0.250 0.750
0.250 0.750 0.250
0.250 0.750 0.750
0.750 0.250 0.250
0.750 0.250 0.750
0.750 0.750 0.250
0.750 0.750 0.750
0.000 0.000 0.500
0.000 0.500 0.000
0.500 0.000 0.000
0.500 0.500 0.500
```

Results
* crystal system: cubic
* N(E_F): 13.678 states/eV/cell
* relative energy among the computed polymorphs: 70.1 kJ/mol of atoms
* formation energy from raw total energies: 0.148 eV/f.u.
* energy: -3.528 eV/atom

=====

[3]
An optimized crystal structure of LiMg2TlI6. Source: Alexandria, functional PBE.

```
LiMg2TlI6
1.0
7.749 -7.424 0.000
7.749 7.424 0.000
-2.970 0.000 7.913
Li Mg Tl I
2 4 2 12
direct
0.203 0.797 0.750
0.797 0.203 0.250
0.232 0.386 0.300
0.386 0.232 0.800
0.614 0.768 0.200
0.768 0.614 0.700
0.124 0.876 0.250
0.876 0.124 0.750
0.045 0.192 0.176
0.137 0.618 0.437
0.192 0.045 0.676
0.304 0.435 0.024
0.382 0.863 0.063
0.435 0.304 0.524
0.565 0.696 0.476
0.618 0.137 0.937
0.696 0.565 0.976
0.808 0.955 0.324
0.863 0.382 0.563
0.955 0.808 0.824
```

Results
* crystal system: monoclinic
* N(E_F): 0.000 states/eV/cell
* formation energy from raw total energies: -9.551 eV/f.u.
* energy: -2.632 eV/atom

=====

[4]
An optimized crystal structure of LiB3Pb. Source: Alexandria, functional PBE.

```
LiB3Pb
1.0
4.755 0.000 0.000
0.000 4.755 0.000
0.000 0.000 4.755
Li B Pb
1 3 1
direct
0.000 0.000 0.000
0.000 0.500 0.500
0.500 0.000 0.500
0.500 0.500 0.000
0.500 0.500 0.500
```

Results
* crystal system: cubic
* N(E_F): 4.472 states/eV/cell
* relative energy among the computed polymorphs: 40.0 kJ/mol of atoms
* formation energy from the elements: 11.48 eV per formula unit
* energy: -2.836 eV/atom

=====

[5]
An optimized crystal structure of Sb2TeIO. Source: Alexandria, functional PBE.

```
Sb2TeIO
1.0
5.854 0.000 0.000
0.000 5.854 0.000
0.000 0.000 5.662
Sb Te I O
2 1 1 1
direct
0.000 0.500 0.000
0.500 0.000 0.000
0.000 0.000 0.500
0.000 0.000 0.000
0.500 0.500 0.500
```

Results
* crystal system: tetragonal
* N(E_F): 12.332 states/eV/cell
* relative energy among the computed polymorphs: 128.3 kJ/mol of atoms
* formation energy from raw total energies: 7.901 eV/f.u.
* energy: -1.999 eV/atom

=====

[6]
An optimized crystal structure of NiHgRh2. Source: Alexandria, functional PBE.

```
NiHgRh2
1.0
9.176 0.000 0.000
0.000 2.818 0.000
-1.008 0.000 4.671
Ni Hg Rh
2 2 4
direct
0.000 0.000 0.000
0.500 0.500 0.000
0.000 0.500 0.500
0.500 0.000 0.500
0.238 0.500 0.228
0.262 0.000 0.772
0.738 0.000 0.228
0.762 0.500 0.772
```

Results
* crystal system: monoclinic
* N(E_F): 10.188 states/eV/cell
* formation energy from the elements: 0.77 eV per formula unit
* energy: -5.004 eV/atom

=====

[7]
An optimized crystal structure of Ba2CuAsN. Source: Alexandria, functional PBE.

```
Ba2CuAsN
1.0
5.852 0.000 0.000
0.000 5.852 0.000
0.000 0.000 3.683
Ba Cu As N
2 1 1 1
direct
0.000 0.500 0.000
0.500 0.000 0.000
0.000 0.000 0.500
0.500 0.500 0.500
0.000 0.000 0.000
```

Results
* crystal system: tetragonal
* N(E_F): 2.104 states/eV/cell
* formation energy from raw total energies: -2.730 eV/f.u.
* energy: -4.729 eV/atom

=====

[8]
An optimized crystal structure of PaTiTc. Source: Alexandria, functional PBE.

```
PaTiTc
1.0
4.562 0.000 0.000
-2.281 3.951 0.000
0.000 0.000 3.014
Pa Ti Tc
1 1 1
direct
0.000 0.000 0.000
0.333 0.667 0.349
0.667 0.333 0.715
```

Results
* crystal system: trigonal
* N(E_F): 3.904 states/eV/cell
* relative energy among the computed polymorphs: 3.9 kJ/mol of atoms
* formation energy from the elements: -0.44 eV per formula unit
* energy: -9.399 eV/atom

=====

[9]
An optimized crystal structure of Pa3CrB7. Source: Alexandria, functional PBE.

```
Pa3CrB7
1.0
1.760 -7.909 0.000
1.760 7.909 0.000
0.000 0.000 9.330
Pa Cr B
6 2 14
direct
0.105 0.895 0.561
0.105 0.895 0.939
0.247 0.753 0.250
0.753 0.247 0.750
0.895 0.105 0.061
0.895 0.105 0.439
0.052 0.948 0.250
0.948 0.052 0.750
0.275 0.725 0.534
0.275 0.725 0.966
0.368 0.632 0.654
0.368 0.632 0.846
0.460 0.540 0.250
0.478 0.522 0.595
0.478 0.522 0.905
0.522 0.478 0.095
0.522 0.478 0.405
0.540 0.460 0.750
0.632 0.368 0.154
0.632 0.368 0.346
0.725 0.275 0.034
0.725 0.275 0.466
```

Results
* crystal system: orthorhombic
* N(E_F): 19.066 states/eV/cell
* formation energy from the elements: -5.62 eV per formula unit
* energy: -8.225 eV/atom

=====

[10]
An optimized crystal structure of NaBe2Si. Source: Alexandria, functional PBE.

```
NaBe2Si
1.0
4.477 0.000 0.000
0.000 4.477 0.000
0.000 0.000 14.706
Na Be Si
4 8 4
direct
0.000 0.250 0.375
0.000 0.750 0.625
0.500 0.250 0.125
0.500 0.750 0.875
0.000 0.000 0.000
0.000 0.500 0.000
0.250 0.250 0.750
0.250 0.750 0.250
0.500 0.000 0.500
0.500 0.500 0.500
0.750 0.250 0.750
0.750 0.750 0.250
0.000 0.250 0.875
0.000 0.750 0.125
0.500 0.250 0.625
0.500 0.750 0.375
```

Results
* crystal system: tetragonal
* N(E_F): 6.205 states/eV/cell
* formation energy from raw total energies: 1.731 eV/f.u.
* energy: -3.116 eV/atom

=====

[11]
An optimized crystal structure of Re7Tc5. Source: Alexandria, functional PBE.

```
Re7Tc5
1.0
6.869 0.000 0.000
0.000 2.778 0.000
-2.212 0.000 9.310
Re Tc
7 5
direct
0.000 0.000 0.000
0.000 0.500 0.251
0.000 0.500 0.749
0.333 0.500 0.639
0.335 0.500 0.139
0.665 0.500 0.861
0.667 0.500 0.361
0.000 0.000 0.500
0.334 0.000 0.888
0.335 0.000 0.388
0.665 0.000 0.612
0.666 0.000 0.112
```

Results
* crystal system: monoclinic
* N(E_F): 11.432 states/eV/cell
* formation energy from the elements: 0.19 eV per formula unit
* energy: -11.565 eV/atom

=====

[12]
An optimized crystal structure of Li6Ir7. Source: Alexandria, functional PBE.

```
Li6Ir7
1.0
2.575 1.486 8.928
-2.575 1.486 8.928
0.000 -2.973 8.928
Li Ir
6 7
direct
0.054 0.054 0.054
0.152 0.152 0.152
0.336 0.336 0.336
0.664 0.664 0.664
0.848 0.848 0.848
0.946 0.946 0.946
0.081 0.592 0.592
0.408 0.408 0.919
0.408 0.919 0.408
0.500 0.500 0.500
0.592 0.081 0.592
0.592 0.592 0.081
0.919 0.408 0.408
```

Results
* crystal system: trigonal
* N(E_F): 14.449 states/eV/cell
* formation energy from the elements: -0.71 eV per formula unit
* energy: -5.709 eV/atom